# 1
Below is a relaxed structure of NaTlGaCl6, with properties calculated at the PBE-GGA level.

Uncorrected formation energy = -1.051 eV/atom
Calculated volume = 239.3 Å³ per cell
Magnetization = 0.00 μB/f.u.

Lattice parameters (Å, degrees): 6.754 6.754 6.055 90.00 90.00 120.00
Element x y z (fractional)
Na: 0.000 0.000 0.000
Tl: 0.667 0.333 0.500
Ga: 0.333 0.667 0.000
Cl: 0.044 0.372 0.228
Cl: 0.044 0.672 0.772
Cl: 0.328 0.372 0.772
Cl: 0.328 0.956 0.228
Cl: 0.628 0.672 0.228
Cl: 0.628 0.956 0.772

# 2
Below is a relaxed structure of Y2CoSe, with properties calculated at the PBE-GGA level.

Uncorrected formation energy = -0.978 eV/atom
Calculated volume = 181.2 Å³ per cell
Magnetization = 0.56 μB/f.u.

Lattice parameters (Å, degrees): 11.348 11.348 3.983 90.00 90.00 159.32
Element x y z (fractional)
Y: 0.064 0.936 0.750
Y: 0.325 0.675 0.750
Y: 0.675 0.325 0.250
Y: 0.936 0.064 0.250
Co: 0.474 0.526 0.750
Co: 0.526 0.474 0.250
Se: 0.194 0.806 0.750
Se: 0.806 0.194 0.250

# 3
Below is a relaxed structure of YTmSc2Cd4, with properties calculated at the PBE-GGA level.

Calculated volume = 191.9 Å³ per cell
Energy of formation = -0.306 eV/atom
Magnetization = 0.00 μB/f.u.

Lattice parameters (Å, degrees): 8.902 8.902 8.902 33.55 33.55 33.55
Element x y z (fractional)
Y: 0.000 0.000 0.000
Tm: 0.500 0.500 0.500
Sc: 0.250 0.250 0.250
Sc: 0.750 0.750 0.750
Cd: 0.126 0.126 0.126
Cd: 0.376 0.376 0.376
Cd: 0.624 0.624 0.624
Cd: 0.874 0.874 0.874